No. 1
CsCdCl3: optimized geometry, GGA-PBEsol.

a b c (Å): 5.2048 5.2048 5.2048
angles (deg): 90.00 90.00 90.00
Closest atoms and distances in Å follow each position.
Atoms (fractional coordinates):
Cl 0.0000 0.0000 0.5000  2 Cd 2.60
Cl 0.0000 0.5000 0.0000  2 Cd 2.60
Cl 0.5000 0.0000 0.0000  2 Cd 2.60
Cd 0.0000 0.0000 0.0000  6 Cl 2.60
Cs 0.5000 0.5000 0.5000  12 Cl 3.68

symmetry: Pm-3m (221)

=====

No. 2
CsCdCl3: optimized geometry, GGA-PBEsol.

a b c (Å): 6.4344 7.2587 7.2587
angles (deg): 120.00 90.00 90.00
Closest atoms and distances in Å follow each position.
Atoms (fractional coordinates):
Cl 0.2500 0.8350 0.1650  2 Cd 2.63
Cl 0.7500 0.6699 0.8350  2 Cd 2.63
Cd 0.0000 0.0000 0.0000  6 Cl 2.63
Cl 0.2500 0.3301 0.1650  2 Cd 2.63
Cd 0.5000 0.0000 0.0000  6 Cl 2.63
Cl 0.7500 0.1650 0.3301  2 Cd 2.63
Cs 0.7500 0.6667 0.3333  12 Cl 3.63-3.85
Cs 0.2500 0.3333 0.6667  12 Cl 3.63-3.85
Cl 0.7500 0.1650 0.8350  2 Cd 2.63
Cl 0.2500 0.8350 0.6699  2 Cd 2.63

symmetry: P6_3/mmc (194)

=====

No. 3
CsCdPCl2: optimized geometry, GGA-PBEsol.

a b c (Å): 5.9248 6.1686 6.1686
angles (deg): 90.00 90.00 90.00
Closest atoms and distances in Å follow each position.
Atoms (fractional coordinates):
Cl 0.0000 0.5000 0.0000  2 Cs 3.08
Cl 0.0000 0.0000 0.5000  2 Cs 3.08
Cd 0.5000 0.5000 0.5000  8 Cl 4.28, 4 P 4.36
P 0.5000 0.0000 0.0000  2 Cs 2.96
Cs 0.0000 0.0000 0.0000  2 P 2.96, 4 Cl 3.08

symmetry: P4/mmm (123)

=====

no.,uncorrected formation energy (eV per formula unit)
1,-7.373
2,-7.406
3,2.398